Density functional theory data (GGA-PBE) for crystalline Ag5ClF5 at its relaxed geometry.

Values from the calculation:
The density comes out at 5.517 g cm⁻³. The calculation puts the total energy at -3.23 eV per atom. For the volume, the calculation gives 403.2 Å³ per cell.

```
data_Ag5ClF5
_chemical_formula_sum 'Ag10 Cl2 F10'
_cell_length_a 11.199
_cell_length_b 5.372
_cell_length_c 7.348
_cell_angle_alpha 90.00
_cell_angle_beta 114.21
_cell_angle_gamma 90.00
_symmetry_space_group_name_H-M 'C 1 2/m 1'
_symmetry_Int_Tables_number 12
loop_
_symmetry_equiv_pos_as_xyz
'x,y,z'
'-x,-y,-z'
'-x,y,-z'
'x,-y,z'
'x+1/2,y+1/2,z'
'-x+1/2,-y+1/2,-z'
'-x+1/2,y+1/2,-z'
'x+1/2,-y+1/2,z'
loop_
_atom_site_label
_atom_site_type_symbol
_atom_site_fract_x
_atom_site_fract_y
_atom_site_fract_z
Ag1 Ag 0.000 0.000 0.000
Ag2 Ag 0.148 0.500 0.805
Ag3 Ag 0.224 0.500 0.347
Cl1 Cl 0.000 0.500 0.000
F1 F 0.000 0.500 0.500
F2 F 0.186 0.000 0.891
F3 F 0.193 0.000 0.317
```

=====

Density functional theory data (GGA-PBE) for crystalline Ag5Cl4F2 at its relaxed geometry.

Values from the calculation:
The density comes out at 4.434 g cm⁻³. The calculation puts the total energy at -2.88 eV per atom. For the volume, the calculation gives 538.6 Å³ per cell.

```
data_Ag5Cl4F2
_chemical_formula_sum 'Ag10 Cl8 F4'
_cell_length_a 10.271
_cell_length_b 6.630
_cell_length_c 7.959
_cell_angle_alpha 90.00
_cell_angle_beta 96.36
_cell_angle_gamma 90.00
_symmetry_space_group_name_H-M 'C 1 m 1'
_symmetry_Int_Tables_number 8
loop_
_symmetry_equiv_pos_as_xyz
'x,y,z'
'x,-y,z'
'x+1/2,y+1/2,z'
'x+1/2,-y+1/2,z'
loop_
_atom_site_label
_atom_site_type_symbol
_atom_site_fract_x
_atom_site_fract_y
_atom_site_fract_z
Ag1 Ag 0.000 0.000 0.000
Ag2 Ag 0.149 0.262 0.808
Ag3 Ag 0.194 0.271 0.345
Cl1 Cl 0.047 0.500 0.996
Cl2 Cl 0.055 0.500 0.504
Cl3 Cl 0.232 0.000 0.628
Cl4 Cl 0.386 0.500 0.274
F1 F 0.185 0.000 0.160
F2 F 0.332 0.500 0.823
```

=====

Density functional theory data (GGA-PBE) for crystalline AgClF2 at its relaxed geometry.

Values from the calculation:
The energy above the most stable polymorph in this dataset is 0.0 kJ/mol of atoms. The density comes out at 3.241 g cm⁻³. For the volume, the calculation gives 185.8 Å³ per cell.

```
data_AgClF2
_chemical_formula_sum 'Ag2 Cl2 F4'
_cell_length_a 4.003
_cell_length_b 6.225
_cell_length_c 7.874
_cell_angle_alpha 101.30
_cell_angle_beta 99.23
_cell_angle_gamma 99.72
_symmetry_space_group_name_H-M 'P -1'
_symmetry_Int_Tables_number 2
loop_
_symmetry_equiv_pos_as_xyz
'x,y,z'
'-x,-y,-z'
loop_
_atom_site_label
_atom_site_type_symbol
_atom_site_fract_x
_atom_site_fract_y
_atom_site_fract_z
Ag1 Ag 0.248 0.251 0.497
Cl1 Cl 0.390 0.934 0.089
F1 F 0.148 0.897 0.382
F2 F 0.350 0.598 0.619
```

=====

Density functional theory data (GGA-PBE) for crystalline Ag5ClF4 at its relaxed geometry.

Values from the calculation:
The density comes out at 6.395 g cm⁻³. The calculation puts the total energy at -3.22 eV per atom. For the volume, the calculation gives 338.0 Å³ per cell.

```
data_Ag5ClF4
_chemical_formula_sum 'Ag10 Cl2 F8'
_cell_length_a 8.056
_cell_length_b 8.056
_cell_length_c 5.207
_cell_angle_alpha 90.00
_cell_angle_beta 90.00
_cell_angle_gamma 90.00
_symmetry_space_group_name_H-M 'I 4'
_symmetry_Int_Tables_number 79
loop_
_symmetry_equiv_pos_as_xyz
'x,y,z'
'-y,x,z'
'-x,-y,z'
'y,-x,z'
'x+1/2,y+1/2,z+1/2'
'-y+1/2,x+1/2,z+1/2'
'-x+1/2,-y+1/2,z+1/2'
'y+1/2,-x+1/2,z+1/2'
loop_
_atom_site_label
_atom_site_type_symbol
_atom_site_fract_x
_atom_site_fract_y
_atom_site_fract_z
Ag1 Ag 0.000 0.000 0.000
Ag2 Ag 0.111 0.318 0.502
Cl1 Cl 0.000 0.000 0.500
F1 F 0.102 0.304 0.002
```